# AcScSi2Ru

A geometry-optimized AcScSi2Ru structure (PBE, the Alexandria database).

Calculated values
- E_tot: -6.7869 eV/atom
- SG: I-4m2 (119)
- Energy relative to the elements, uncorrected: -675 meV/atom

Geometry as extended XYZ:
```
5
Lattice="-0.325 0.886 4.137 -1.614 -3.861 0.701 6.234 -0.558 -1.567" Properties=species:S:1:pos:R:3 pbc="T T T"
Ac 0.000 0.000 0.000
Sc 2.470 -0.580 2.494
Si 0.211 -1.946 2.610
Si 4.085 -1.587 0.661
Ru 1.826 -2.953 0.776
```